Record 1
The following is a DFT calculation (PBE-GGA) of crystalline Pm4SbSe2Br at its relaxed geometry.

Structure (CIF):
```
data_Pm4SbSe2Br
_space_group_name_H-M_alt 'P 1 2/m 1'
_space_group_IT_number 10
_cell_length_a 7.419
_cell_length_b 4.314
_cell_length_c 7.533
_cell_angle_alpha 90.00
_cell_angle_beta 109.61
_cell_angle_gamma 90.00
loop_
_space_group_symop_operation_xyz
'x,y,z'
'-x,-y,-z'
'-x,y,-z'
'x,-y,z'
loop_
_atom_site_label
_atom_site_type_symbol
_atom_site_fract_x
_atom_site_fract_y
_atom_site_fract_z
Pm1 Pm 0.226 0.000 0.216
Pm2 Pm 0.246 0.500 0.776
Sb1 Sb 0.000 0.000 0.500
Se1 Se 0.000 0.500 0.000
Se2 Se 0.500 0.000 0.000
Br1 Br 0.500 0.500 0.500
```

Results
The formation energy (no corrections) is -1506 meV/atom.

=====

Record 2
The following is a DFT calculation (PBE-GGA) of crystalline PmSmSbBr at its relaxed geometry.

Structure (CIF):
```
data_PmSmSbBr
_space_group_name_H-M_alt 'F -4 3 m'
_space_group_IT_number 216
_space_group_name_Hall 'F -4 2 3'
_cell_length_a 7.588
_cell_length_b 7.588
_cell_length_c 7.588
_cell_angle_alpha 90.00
_cell_angle_beta 90.00
_cell_angle_gamma 90.00
loop_
_atom_site_label
_atom_site_type_symbol
_atom_site_fract_x
_atom_site_fract_y
_atom_site_fract_z
Pm1 Pm 0.000 0.000 0.000
Sm1 Sm 0.000 0.000 0.500
Sb1 Sb 0.250 0.250 0.250
Br1 Br 0.250 0.250 0.750
```

Results
The formation energy (no corrections) is -1087 meV/atom.

=====

Record 3
The following is a DFT calculation (PBE-GGA) of crystalline SrPmSbBr at its relaxed geometry.

Structure (CIF):
```
data_SrPmSbBr
_space_group_name_H-M_alt 'F -4 3 m'
_space_group_IT_number 216
_space_group_name_Hall 'F -4 2 3'
_cell_length_a 7.810
_cell_length_b 7.810
_cell_length_c 7.810
_cell_angle_alpha 90.00
_cell_angle_beta 90.00
_cell_angle_gamma 90.00
loop_
_atom_site_label
_atom_site_type_symbol
_atom_site_fract_x
_atom_site_fract_y
_atom_site_fract_z
Sr1 Sr 0.000 0.000 0.000
Pm1 Pm 0.000 0.000 0.500
Sb1 Sb 0.250 0.250 0.250
Br1 Br 0.250 0.250 0.750
```

Results
The formation energy (no corrections) is -1119 meV/atom.

=====

Record 4
The following is a DFT calculation (PBE-GGA) of crystalline TbPmSbBr at its relaxed geometry.

Structure (CIF):
```
data_TbPmSbBr
_space_group_name_H-M_alt 'F -4 3 m'
_space_group_IT_number 216
_space_group_name_Hall 'F -4 2 3'
_cell_length_a 7.536
_cell_length_b 7.536
_cell_length_c 7.536
_cell_angle_alpha 90.00
_cell_angle_beta 90.00
_cell_angle_gamma 90.00
loop_
_atom_site_label
_atom_site_type_symbol
_atom_site_fract_x
_atom_site_fract_y
_atom_site_fract_z
Tb1 Tb 0.000 0.000 0.000
Pm1 Pm 0.000 0.000 0.500
Sb1 Sb 0.250 0.250 0.750
Br1 Br 0.250 0.250 0.250
```

Results
The formation energy (no corrections) is -1045 meV/atom.

=====

Record 5
The following is a DFT calculation (PBE-GGA) of crystalline Pm2ScBr at its relaxed geometry.

Structure (CIF):
```
data_Pm2ScBr
_space_group_name_H-M_alt 'P 4/m m m'
_space_group_IT_number 123
_space_group_name_Hall '-P 4 2'
_cell_length_a 3.521
_cell_length_b 3.521
_cell_length_c 9.330
_cell_angle_alpha 90.00
_cell_angle_beta 90.00
_cell_angle_gamma 90.00
loop_
_atom_site_label
_atom_site_type_symbol
_atom_site_fract_x
_atom_site_fract_y
_atom_site_fract_z
Pm1 Pm 0.000 0.000 0.243
Sc1 Sc 0.500 0.500 0.500
Br1 Br 0.500 0.500 0.000
```

Results
The formation energy (no corrections) is -445 meV/atom.

=====

Record 6
The following is a DFT calculation (PBE-GGA) of crystalline PmScBr3 at its relaxed geometry.

Structure (CIF):
```
data_PmScBr3
_space_group_name_H-M_alt 'C 1 2/c 1'
_space_group_IT_number 15
_cell_length_a 14.887
_cell_length_b 13.550
_cell_length_c 6.843
_cell_angle_alpha 90.00
_cell_angle_beta 114.11
_cell_angle_gamma 90.00
loop_
_space_group_symop_operation_xyz
'x,y,z'
'-x,-y,-z'
'-x,y,-z+1/2'
'x,-y,z+1/2'
'x+1/2,y+1/2,z'
'-x+1/2,-y+1/2,-z'
'-x+1/2,y+1/2,-z+1/2'
'x+1/2,-y+1/2,z+1/2'
loop_
_atom_site_label
_atom_site_type_symbol
_atom_site_fract_x
_atom_site_fract_y
_atom_site_fract_z
Pm1 Pm 0.000 0.002 0.250
Pm2 Pm 0.000 0.372 0.750
Sc1 Sc 0.212 0.041 0.187
Br1 Br 0.061 0.174 0.049
Br2 Br 0.112 0.440 0.198
Br3 Br 0.173 0.296 0.713
```

Results
The formation energy (no corrections) is -1250 meV/atom.